No. 1
The following is a DFT calculation (PBE) of TiBrCl3 after structural relaxation.

It has space group P1 (No. 1), with a = 6.831 Å, b = 7.143 Å, c = 8.492 Å, α = 90.10°, β = 90.13° and γ = 90.07°. The inequivalent atoms are Ti at (0.000, 0.000, 0.000), Ti at (0.499, 0.642, 0.498), Br at (0.408, 0.957, 0.499), Br at (0.907, 0.685, 0.999), Cl at (0.319, 0.021, 0.999), Cl at (0.380, 0.506, 0.708), Cl at (0.382, 0.507, 0.287), Cl at (0.818, 0.619, 0.499), Cl at (0.882, 0.137, 0.791) and Cl at (0.885, 0.136, 0.211).

The value obtained for the energy relative to the lowest polymorph listed for this composition is 0 meV/atom.

***

No. 2
The following is a DFT calculation (PBE) of PrCd4Ge2 after structural relaxation.

It has space group Cmmm (No. 65), with a = 4.346 Å, b = 16.870 Å, c = 4.337 Å, α = 90.00°, β = 90.00° and γ = 90.00°. The inequivalent atoms are Pr at (0.000, 0.000, 0.000), Cd at (0.000, 0.181, 0.500), Cd at (0.000, 0.316, 0.000) and Ge at (0.000, 0.426, 0.500).

Its total energy is -38.63 eV for the cell shown.

***

No. 3
The following is a DFT calculation (PBE) of Ac2DyCd3Hg12 after structural relaxation.

It has space group R-3m (No. 166, hexagonal axes), with a = 6.9952 Å, b = 6.9952 Å, c = 37.4528 Å, α = 90.00°, β = 90.00° and γ = 120.00°. The inequivalent atoms are Ac at (0.0000, 0.0000, 0.1358), Dy at (0.0000, 0.0000, 0.5000), Cd at (0.0000, 0.5000, 0.0000), Hg at (0.0279, 0.5139, 0.8861) and Hg at (0.0373, 0.5187, 0.6124).

Its total energy is -65.59 eV for the cell shown.

***

No. 4
The following is a DFT calculation (PBE) of KLaPt2 after structural relaxation.

It has space group P4mm (No. 99), with a = 3.756 Å, b = 3.756 Å, c = 8.886 Å, α = 90.00°, β = 90.00° and γ = 90.00°. The inequivalent atoms are K at (0.000, 0.000, 0.000), La at (0.500, 0.500, 0.472), Pt at (0.000, 0.000, 0.623) and Pt at (0.500, 0.500, 0.768).

Its total energy is -19.19 eV for the cell shown.

***

No. 5
The following is a DFT calculation (PBE) of LaMn2Co after structural relaxation.

It has space group C2/m (No. 12), with a = 5.398 Å, b = 8.428 Å, c = 3.105 Å, α = 90.00°, β = 106.82° and γ = 90.00°. The inequivalent atoms are La at (0.000, 0.000, 0.000), Mn at (0.250, 0.250, 0.500) and Co at (0.000, 0.500, 0.000).

Its total energy is -56.46 eV for the cell shown.

***

No. 6
The following is a DFT calculation (PBE) of TlPb2Cl5 after structural relaxation.

It has space group P2_1/c (No. 14), with a = 9.012 Å, b = 8.113 Å, c = 12.757 Å, α = 90.00°, β = 90.07° and γ = 90.00°. The inequivalent atoms are Tl at (0.014, 0.042, 0.170), Pb at (0.247, 0.565, 0.004), Pb at (0.488, 0.003, 0.824), Cl at (0.038, 0.172, 0.417), Cl at (0.271, 0.688, 0.782), Cl at (0.272, 0.153, 0.686), Cl at (0.283, 0.545, 0.503) and Cl at (0.459, 0.162, 0.399).

The value obtained for the energy relative to the lowest polymorph listed for this composition is 0 meV/atom.

***

No. 7
The following is a DFT calculation (PBE) of CaMoRu after structural relaxation.

It has space group P3m1 (No. 156), with a = 4.5246 Å, b = 4.5246 Å, c = 3.0787 Å, α = 90.00°, β = 90.00° and γ = 120.00°. The inequivalent atoms are Ca at (0.0000, 0.0000, 0.0000), Mo at (0.3333, 0.6667, 0.4011) and Ru at (0.6667, 0.3333, 0.6002).

The value obtained for the energy relative to the lowest polymorph listed for this composition is 285 meV/atom.

***

No. 8
The following is a DFT calculation (PBE) of Tb6Dy6Y after structural relaxation.

It has space group Cmmm (No. 65), with a = 6.989 Å, b = 11.050 Å, c = 11.129 Å, α = 90.00°, β = 90.00° and γ = 90.00°. The inequivalent atoms are Tb at (0.000, 0.000, 0.197), Tb at (0.250, 0.250, 0.276), Dy at (0.000, 0.145, 0.500), Dy at (0.000, 0.236, 0.000), Dy at (0.000, 0.500, 0.165) and Y at (0.000, 0.500, 0.500).

Its total energy is -117.78 eV for the cell shown.

***

No. 9
The following is a DFT calculation (PBE) of PrHo3Er6Tm2 after structural relaxation.

It has space group C2/m (No. 12), with a = 6.102 Å, b = 10.557 Å, c = 11.682 Å, α = 90.00°, β = 99.98° and γ = 90.00°. The inequivalent atoms are Pr at (0.000, 0.000, 0.000), Ho at (0.000, 0.167, 0.500), Ho at (0.000, 0.500, 0.500), Er at (0.248, 0.333, 0.749), Er at (0.250, 0.000, 0.749) and Tm at (0.000, 0.333, 0.000).

Its total energy is -109.13 eV for the cell shown.

***

No. 10
The following is a DFT calculation (PBE) of Sm8Cd after structural relaxation.

It has space group I4/mmm (No. 139), with a = 12.465 Å, b = 12.465 Å, c = 3.755 Å, α = 90.00°, β = 90.00° and γ = 90.00°. The inequivalent atoms are Sm at (0.000, 0.335, 0.000), Sm at (0.157, 0.157, 0.500) and Cd at (0.000, 0.000, 0.000).

The value obtained for the energy relative to the lowest polymorph listed for this composition is 31 meV/atom.

***

No. 11
The following is a DFT calculation (PBE) of PrLuAlPb after structural relaxation.

It has space group F-43m (No. 216), with a = 7.577 Å, b = 7.577 Å, c = 7.577 Å, α = 90.00°, β = 90.00° and γ = 90.00°. The inequivalent atoms are Pr at (0.000, 0.000, 0.000), Lu at (0.000, 0.000, 0.500), Al at (0.250, 0.250, 0.750) and Pb at (0.250, 0.250, 0.250).

Its total energy is -71.65 eV for the cell shown.

***

No. 12
The following is a DFT calculation (PBE) of Sr2MgAg6 after structural relaxation.

It has space group P-3m1 (No. 164), with a = 6.2950 Å, b = 6.2950 Å, c = 6.2306 Å, α = 90.00°, β = 90.00° and γ = 120.00°. The inequivalent atoms are Sr at (0.3333, 0.6667, 0.1609), Mg at (0.0000, 0.0000, 0.0000) and Ag at (0.1779, 0.3557, 0.6697).

Its total energy is -23.85 eV for the cell shown.